Entry 1:
{"formula": "PaTl2HgSe4", "functional": "GGA-PBE", "state": "relaxed", "sg": "P2/m, No. 10", "rho_g_cm3": 7.987, "raw_formation_energy_ev_per_fu": -5.63, "magnetic_moment_mub_per_cell": 0.50, "lattice": [[7.5796, 0.0000, 0.0000], [0.0000, 4.1642, 0.0000], [-2.6035, 0.0000, 7.6161]], "species": ["Pa", "Tl", "Tl", "Hg", "Se", "Se", "Se", "Se"], "fractional_positions": [[0.0000, 0.0000, 0.0000], [0.0000, 0.5000, 0.5000], [0.5000, 0.0000, 0.5000], [0.5000, 0.5000, 0.0000], [0.2117, 0.5000, 0.2137], [0.2441, 0.0000, 0.8010], [0.7559, 0.0000, 0.1990], [0.7883, 0.5000, 0.7863]]}

***

Entry 2:
{"formula": "V4Co", "functional": "GGA-PBE", "state": "relaxed", "sg": "Pm-3m, No. 221", "rho_g_cm3": 5.494, "formation_energy_ev_per_atom": 0.855, "magnetic_moment_mub_per_cell": 2.46, "lattice": [[4.2981, 0.0000, 0.0000], [0.0000, 4.2981, 0.0000], [0.0000, 0.0000, 4.2981]], "species": ["V", "V", "V", "V", "Co"], "fractional_positions": [[0.0000, 0.0000, 0.0000], [0.0000, 0.5000, 0.5000], [0.5000, 0.0000, 0.5000], [0.5000, 0.5000, 0.0000], [0.5000, 0.5000, 0.5000]]}

***

Entry 3:
{"formula": "AcBeSiPt3", "functional": "GGA-PBE", "state": "relaxed", "sg": "Cmcm, No. 63", "rho_g_cm3": 12.456, "raw_formation_energy_ev_per_fu": -5.31, "magnetic_moment_mub_per_cell": 0.00, "lattice": [[3.2789, -6.0090, 0.0000], [3.2789, 6.0090, 0.0000], [0.0000, 0.0000, 5.7469]], "species": ["Ac", "Ac", "Be", "Be", "Si", "Si", "Pt", "Pt", "Pt", "Pt", "Pt", "Pt"], "fractional_positions": [[0.2333, 0.7667, 0.7500], [0.7667, 0.2333, 0.2500], [0.4959, 0.5041, 0.2500], [0.5041, 0.4959, 0.7500], [0.1090, 0.8910, 0.2500], [0.8910, 0.1090, 0.7500], [0.2265, 0.2265, 0.0000], [0.2265, 0.2265, 0.5000], [0.3045, 0.6955, 0.2500], [0.6955, 0.3045, 0.7500], [0.7735, 0.7735, 0.0000], [0.7735, 0.7735, 0.5000]]}

***

Entry 4:
{"formula": "Al2TlCl", "functional": "GGA-PBE", "state": "relaxed", "sg": "Pmm2, No. 25", "rho_g_cm3": 5.084, "raw_formation_energy_ev_per_fu": -0.53, "magnetic_moment_mub_per_cell": 0.00, "lattice": [[3.2981, 0.0000, 0.0000], [0.0000, 4.9752, 0.0000], [0.0000, 0.0000, 5.8483]], "species": ["Al", "Al", "Tl", "Cl"], "fractional_positions": [[0.0000, 0.0000, 0.0000], [0.5000, 0.5000, 0.0314], [0.0000, 0.0000, 0.5056], [0.5000, 0.5000, 0.4356]]}

***

Entry 5:
{"formula": "CeSm5Au6", "functional": "GGA-PBE", "state": "relaxed", "sg": "P2/m, No. 10", "rho_g_cm3": 11.498, "formation_energy_ev_per_atom": -0.757, "magnetic_moment_mub_per_cell": 1.06, "lattice": [[5.2241, 0.0000, 0.0000], [0.0000, 7.3050, 0.0000], [-2.5716, 0.0000, 7.8476]], "species": ["Ce", "Sm", "Sm", "Sm", "Sm", "Sm", "Au", "Au", "Au", "Au", "Au", "Au"], "fractional_positions": [[0.0000, 0.0000, 0.0000], [0.0000, 0.5000, 0.0000], [0.3322, 0.0000, 0.6661], [0.3330, 0.5000, 0.6679], [0.6670, 0.5000, 0.3321], [0.6678, 0.0000, 0.3339], [0.1696, 0.2517, 0.3363], [0.1696, 0.7483, 0.3363], [0.5000, 0.2524, 0.0000], [0.5000, 0.7476, 0.0000], [0.8304, 0.2517, 0.6637], [0.8304, 0.7483, 0.6637]]}

***

Entry 6:
{"formula": "Li2TlP", "functional": "GGA-PBE", "state": "relaxed", "sg": "Fm-3m, No. 225", "rho_g_cm3": 5.754, "formation_energy_ev_per_atom": -0.307, "magnetic_moment_mub_per_cell": 0.00, "lattice": [[0.0000, 3.3008, 3.3008], [3.3008, 0.0000, 3.3008], [3.3008, 3.3008, 0.0000]], "species": ["Li", "Li", "Tl", "P"], "fractional_positions": [[0.2500, 0.2500, 0.2500], [0.7500, 0.7500, 0.7500], [0.0000, 0.0000, 0.0000], [0.5000, 0.5000, 0.5000]]}

***

Entry 7:
{"formula": "BaCeUO6", "functional": "GGA-PBE", "state": "relaxed", "sg": "P-31c, No. 163", "rho_g_cm3": 6.005, "raw_formation_energy_ev_per_fu": -28.91, "magnetic_moment_mub_per_cell": 0.00, "lattice": [[6.0224, 0.0000, 0.0000], [-3.0112, 5.2156, 0.0000], [0.0000, 0.0000, 10.7667]], "species": ["Ba", "Ba", "Ce", "Ce", "U", "U", "O", "O", "O", "O", "O", "O", "O", "O", "O", "O", "O", "O"], "fractional_positions": [[0.0000, 0.0000, 0.0000], [0.0000, 0.0000, 0.5000], [0.3333, 0.6667, 0.2500], [0.6667, 0.3333, 0.7500], [0.3333, 0.6667, 0.7500], [0.6667, 0.3333, 0.2500], [0.0203, 0.3872, 0.6491], [0.0203, 0.6330, 0.8509], [0.3670, 0.3872, 0.8509], [0.3670, 0.9797, 0.6491], [0.3872, 0.0203, 0.1491], [0.3872, 0.3670, 0.3509], [0.6128, 0.6330, 0.6491], [0.6128, 0.9797, 0.8509], [0.6330, 0.0203, 0.3509], [0.6330, 0.6128, 0.1491], [0.9797, 0.3670, 0.1491], [0.9797, 0.6128, 0.3509]]}

***

Entry 8:
{"formula": "ZrRhSe2", "functional": "GGA-PBE", "state": "relaxed", "sg": "P2/m, No. 10", "rho_g_cm3": 7.730, "raw_formation_energy_ev_per_fu": -2.60, "magnetic_moment_mub_per_cell": 0.00, "lattice": [[3.4458, 0.0000, 0.0000], [0.0000, 3.4352, 0.0000], [-1.6137, 0.0000, 6.3890]], "species": ["Zr", "Rh", "Se", "Se"], "fractional_positions": [[0.0000, 0.0000, 0.0000], [0.5000, 0.0000, 0.5000], [0.4161, 0.5000, 0.7614], [0.5839, 0.5000, 0.2386]]}

***

Entry 9:
{"formula": "CoHg2Cl", "functional": "GGA-PBE", "state": "relaxed", "sg": "Cmmm, No. 65", "rho_g_cm3": 10.026, "raw_formation_energy_ev_per_fu": 1.29, "magnetic_moment_mub_per_cell": 1.97, "lattice": [[2.7936, -4.3709, 0.0000], [2.7936, 4.3709, 0.0000], [0.0000, 0.0000, 3.3609]], "species": ["Co", "Hg", "Hg", "Cl"], "fractional_positions": [[0.0000, 0.0000, 0.0000], [0.0000, 0.5000, 0.5000], [0.5000, 0.0000, 0.5000], [0.5000, 0.5000, 0.0000]]}

***

Entry 10:
{"formula": "ZnBRh2", "functional": "GGA-PBE", "state": "relaxed", "sg": "P4/mmm, No. 123", "rho_g_cm3": 9.840, "formation_energy_ev_per_atom": -0.038, "magnetic_moment_mub_per_cell": 0.00, "lattice": [[4.0626, 0.0000, 0.0000], [0.0000, 4.0626, 0.0000], [0.0000, 0.0000, 2.8838]], "species": ["Zn", "B", "Rh", "Rh"], "fractional_positions": [[0.0000, 0.0000, 0.0000], [0.5000, 0.5000, 0.0000], [0.0000, 0.5000, 0.5000], [0.5000, 0.0000, 0.5000]]}

***

Entry 11:
{"formula": "CaAlInF6", "functional": "GGA-PBE", "state": "relaxed", "sg": "P312, No. 149", "rho_g_cm3": 3.119, "raw_formation_energy_ev_per_fu": -29.23, "magnetic_moment_mub_per_cell": 0.00, "lattice": [[5.6494, 0.0000, 0.0000], [-2.8247, 4.8925, 0.0000], [0.0000, 0.0000, 5.6978]], "species": ["Ca", "Al", "In", "F", "F", "F", "F", "F", "F"], "fractional_positions": [[0.0000, 0.0000, 0.0000], [0.3333, 0.6667, 0.0000], [0.6667, 0.3333, 0.5000], [0.0737, 0.3898, 0.1834], [0.0737, 0.6838, 0.8166], [0.3162, 0.3898, 0.8166], [0.3162, 0.9263, 0.1834], [0.6102, 0.6838, 0.1834], [0.6102, 0.9263, 0.8166]]}

***

Entry 12:
{"formula": "PuCuPdPb", "functional": "GGA-PBE", "state": "relaxed", "sg": "F-43m, No. 216", "rho_g_cm3": 12.309, "formation_energy_ev_per_atom": 0.009, "magnetic_moment_mub_per_cell": 5.36, "lattice": [[0.0000, 3.4733, 3.4733], [3.4733, 0.0000, 3.4733], [3.4733, 3.4733, 0.0000]], "species": ["Pu", "Cu", "Pd", "Pb"], "fractional_positions": [[0.0000, 0.0000, 0.0000], [0.7500, 0.7500, 0.7500], [0.5000, 0.5000, 0.5000], [0.2500, 0.2500, 0.2500]]}

***

Entry 13:
{"formula": "BW2Se", "functional": "GGA-PBE", "state": "relaxed", "sg": "Fm-3m, No. 225", "rho_g_cm3": 14.146, "raw_formation_energy_ev_per_fu": 2.56, "magnetic_moment_mub_per_cell": 0.00, "lattice": [[0.0000, 2.9944, 2.9944], [2.9944, 0.0000, 2.9944], [2.9944, 2.9944, 0.0000]], "species": ["B", "W", "W", "Se"], "fractional_positions": [[0.0000, 0.0000, 0.0000], [0.2500, 0.2500, 0.2500], [0.7500, 0.7500, 0.7500], [0.5000, 0.5000, 0.5000]]}

***

Entry 14:
{"formula": "Pm2In3Ru2", "functional": "GGA-PBE", "state": "relaxed", "sg": "C2/m, No. 12", "rho_g_cm3": 8.429, "formation_energy_ev_per_atom": -0.290, "magnetic_moment_mub_per_cell": 0.00, "lattice": [[5.3931, -2.2568, 0.0000], [5.3931, 2.2568, 0.0000], [-1.4930, 0.0000, 6.7703]], "species": ["Pm", "Pm", "In", "In", "In", "Ru", "Ru"], "fractional_positions": [[0.1254, 0.1254, 0.3578], [0.8746, 0.8746, 0.6422], [0.1947, 0.1947, 0.8540], [0.5000, 0.5000, 0.0000], [0.8053, 0.8053, 0.1460], [0.4235, 0.4235, 0.3516], [0.5765, 0.5765, 0.6484]]}

***

Entry 15:
{"formula": "Nd4Te2PdSe", "functional": "GGA-PBE", "state": "relaxed", "sg": "P2/m, No. 10", "rho_g_cm3": 7.120, "raw_formation_energy_ev_per_fu": -10.81, "magnetic_moment_mub_per_cell": 0.00, "lattice": [[7.6140, 0.0000, 0.0000], [0.0000, 4.2886, 0.0000], [-2.5136, 0.0000, 7.2678]], "species": ["Nd", "Nd", "Nd", "Nd", "Te", "Te", "Pd", "Se"], "fractional_positions": [[0.2325, 0.0000, 0.2212], [0.2589, 0.5000, 0.7697], [0.7411, 0.5000, 0.2303], [0.7675, 0.0000, 0.7788], [0.0000, 0.0000, 0.5000], [0.5000, 0.5000, 0.5000], [0.0000, 0.5000, 0.0000], [0.5000, 0.0000, 0.0000]]}

***

Entry 16:
{"formula": "Sr2Ge4IrAu3", "functional": "GGA-PBE", "state": "relaxed", "sg": "P-4m2, No. 115", "rho_g_cm3": 9.640, "formation_energy_ev_per_atom": -0.468, "magnetic_moment_mub_per_cell": 0.00, "lattice": [[4.4997, 0.0000, 0.0000], [0.0000, 4.4997, 0.0000], [0.0000, 0.0000, 10.6255]], "species": ["Sr", "Sr", "Ge", "Ge", "Ge", "Ge", "Ir", "Au", "Au", "Au"], "fractional_positions": [[0.0000, 0.5000, 0.2470], [0.5000, 0.0000, 0.7530], [0.0000, 0.0000, 0.5000], [0.0000, 0.5000, 0.8825], [0.5000, 0.0000, 0.1175], [0.5000, 0.5000, 0.5000], [0.5000, 0.5000, 0.0000], [0.0000, 0.0000, 0.0000], [0.0000, 0.5000, 0.6386], [0.5000, 0.0000, 0.3614]]}

***

Entry 17:
{"formula": "La7TbPr12", "functional": "GGA-PBE", "state": "relaxed", "sg": "Im-3, No. 204", "rho_g_cm3": 6.083, "formation_energy_ev_per_atom": 0.550, "magnetic_moment_mub_per_cell": 0.00, "lattice": [[-5.7751, 5.7751, 5.7751], [5.7751, -5.7751, 5.7751], [5.7751, 5.7751, -5.7751]], "species": ["La", "La", "La", "La", "La", "La", "La", "Tb", "Pr", "Pr", "Pr", "Pr", "Pr", "Pr", "Pr", "Pr", "Pr", "Pr", "Pr", "Pr"], "fractional_positions": [[0.0000, 0.0000, 0.5000], [0.0000, 0.5000, 0.0000], [0.0000, 0.5000, 0.5000], [0.5000, 0.0000, 0.0000], [0.5000, 0.0000, 0.5000], [0.5000, 0.5000, 0.0000], [0.5000, 0.5000, 0.5000], [0.0000, 0.0000, 0.0000], [0.0689, 0.2772, 0.7917], [0.2083, 0.4855, 0.2772], [0.2083, 0.9311, 0.7228], [0.2772, 0.2083, 0.4855], [0.2772, 0.7917, 0.0689], [0.4855, 0.2772, 0.2083], [0.5145, 0.7228, 0.7917], [0.7228, 0.2083, 0.9311], [0.7228, 0.7917, 0.5145], [0.7917, 0.0689, 0.2772], [0.7917, 0.5145, 0.7228], [0.9311, 0.7228, 0.2083]]}

***

Entry 18:
{"formula": "Ac2TmSi3Ni12", "functional": "GGA-PBE", "state": "relaxed", "sg": "R-3m, No. 166", "rho_g_cm3": 7.323, "raw_formation_energy_ev_per_fu": 0.80, "magnetic_moment_mub_per_cell": 0.00, "lattice": [[3.7124, 2.1434, 6.7042], [-3.7124, 2.1434, 6.7042], [0.0000, -4.2867, 6.7042]], "species": ["Ac", "Ac", "Tm", "Si", "Si", "Si", "Ni", "Ni", "Ni", "Ni", "Ni", "Ni", "Ni", "Ni", "Ni", "Ni", "Ni", "Ni"], "fractional_positions": [[0.1058, 0.1058, 0.1058], [0.8942, 0.8942, 0.8942], [0.5000, 0.5000, 0.5000], [0.0000, 0.5000, 0.5000], [0.5000, 0.0000, 0.5000], [0.5000, 0.5000, 0.0000], [0.0194, 0.6552, 0.6552], [0.1467, 0.1467, 0.6233], [0.1467, 0.6233, 0.1467], [0.3448, 0.3448, 0.9806], [0.3448, 0.9806, 0.3448], [0.3767, 0.8533, 0.8533], [0.6233, 0.1467, 0.1467], [0.6552, 0.0194, 0.6552], [0.6552, 0.6552, 0.0194], [0.8533, 0.3767, 0.8533], [0.8533, 0.8533, 0.3767], [0.9806, 0.3448, 0.3448]]}

***

Entry 19:
{"formula": "CeNp5Se6", "functional": "GGA-PBE", "state": "relaxed", "sg": "C2/m, No. 12", "rho_g_cm3": 10.066, "raw_formation_energy_ev_per_fu": -14.27, "magnetic_moment_mub_per_cell": 23.00, "lattice": [[3.5644, -6.1696, 0.0000], [3.5644, 6.1696, 0.0000], [-2.3707, 0.0000, 6.7474]], "species": ["Ce", "Np", "Np", "Np", "Np", "Np", "Se", "Se", "Se", "Se", "Se", "Se"], "fractional_positions": [[0.0000, 0.0000, 0.0000], [0.1643, 0.8357, 0.5000], [0.3325, 0.6675, 0.0000], [0.5000, 0.5000, 0.5000], [0.6675, 0.3325, 0.0000], [0.8357, 0.1643, 0.5000], [0.0854, 0.4243, 0.2550], [0.2560, 0.2560, 0.7484], [0.4243, 0.0854, 0.2550], [0.5757, 0.9146, 0.7450], [0.7440, 0.7440, 0.2516], [0.9146, 0.5757, 0.7450]]}

***

Entry 20:
{"formula": "TbSm2Dy3Tm6", "functional": "GGA-PBE", "state": "relaxed", "sg": "C2/m, No. 12", "rho_g_cm3": 8.754, "formation_energy_ev_per_atom": 0.021, "magnetic_moment_mub_per_cell": 0.00, "lattice": [[3.0606, -5.2960, 0.0000], [3.0606, 5.2960, 0.0000], [-2.0326, 0.0000, 11.4728]], "species": ["Tb", "Sm", "Sm", "Dy", "Dy", "Dy", "Tm", "Tm", "Tm", "Tm", "Tm", "Tm"], "fractional_positions": [[0.0000, 0.0000, 0.0000], [0.3333, 0.6667, 0.0000], [0.6667, 0.3333, 0.0000], [0.1666, 0.8334, 0.5000], [0.5000, 0.5000, 0.5000], [0.8334, 0.1666, 0.5000], [0.0844, 0.4175, 0.2516], [0.2486, 0.2486, 0.7483], [0.4175, 0.0844, 0.2516], [0.5825, 0.9156, 0.7484], [0.7514, 0.7514, 0.2517], [0.9156, 0.5825, 0.7484]]}